Entry 1:
This record from Alexandria via LeMat-Bulk describes crystalline TaIr2 at its relaxed geometry. The functional is PBEsol.

Structure (CIF):
```
data_TaIr2
_chemical_formula_sum 'Ta4 Ir8'
_cell_length_a 5.536
_cell_length_b 3.918
_cell_length_c 8.341
_cell_angle_alpha 90.00
_cell_angle_beta 90.00
_cell_angle_gamma 90.00
_symmetry_space_group_name_H-M 'P n m a'
_symmetry_Int_Tables_number 62
_symmetry_space_group_name_Hall '-P 2ac 2n'
loop_
_atom_site_label
_atom_site_fract_x
_atom_site_fract_y
_atom_site_fract_z
_atom_site_occupancy
Ta1 0.150 0.250 0.096 1
Ir1 0.114 0.250 0.756 1
Ir2 0.134 0.250 0.420 1
```

Computed properties:
**Formation energy from the elements**: -0.618 eV/atom
**Fermi-level density of states**: 0.555 states/eV/atom

***

Entry 2:
This record from Alexandria via LeMat-Bulk describes crystalline ScReHg at its relaxed geometry. The functional is PBEsol.

Structure (CIF):
```
data_ScReHg
_chemical_formula_sum 'Sc2 Re2 Hg2'
_cell_length_a 2.877
_cell_length_b 2.877
_cell_length_c 12.942
_cell_angle_alpha 90.00
_cell_angle_beta 90.00
_cell_angle_gamma 90.00
_symmetry_space_group_name_H-M 'I 4 m m'
_symmetry_Int_Tables_number 107
_symmetry_space_group_name_Hall 'I 4 -2'
loop_
_atom_site_label
_atom_site_fract_x
_atom_site_fract_y
_atom_site_fract_z
_atom_site_occupancy
Sc1 0.000 0.000 0.000 1
Re1 0.000 0.000 0.345 1
Hg1 0.000 0.000 0.679 1
```

Computed properties:
**Formation energy from the elements**: 0.209 eV/atom
**Fermi-level density of states**: 1.134 states/eV/atom

***

Entry 3:
This record from Alexandria via LeMat-Bulk describes crystalline CuRe3Ge at its relaxed geometry. The functional is PBEsol.

Structure (CIF):
```
data_CuRe3Ge
_chemical_formula_sum 'Cu1 Re3 Ge1'
_cell_length_a 4.465
_cell_length_b 4.465
_cell_length_c 4.465
_cell_angle_alpha 90.00
_cell_angle_beta 90.00
_cell_angle_gamma 90.00
_symmetry_space_group_name_H-M 'P m -3 m'
_symmetry_Int_Tables_number 221
_symmetry_space_group_name_Hall '-P 4 2 3'
loop_
_atom_site_label
_atom_site_fract_x
_atom_site_fract_y
_atom_site_fract_z
_atom_site_occupancy
Cu1 0.000 0.000 0.000 1
Re1 0.000 0.500 0.500 1
Ge1 0.500 0.500 0.500 1
```

Computed properties:
**Formation energy from the elements**: 2.122 eV/atom
**Fermi-level density of states**: 1.329 states/eV/atom

***

Entry 4:
This record from Alexandria via LeMat-Bulk describes crystalline CsV3B2P4H8O22 at its relaxed geometry. The functional is PBEsol.

Structure (CIF):
```
data_CsV3B2P4H8O22
_chemical_formula_sum 'Cs2 V6 B4 P8 H16 O44'
_cell_length_a 9.571
_cell_length_b 18.502
_cell_length_c 5.003
_cell_angle_alpha 90.00
_cell_angle_beta 110.74
_cell_angle_gamma 90.00
_symmetry_space_group_name_H-M 'C 1 2/m 1'
_symmetry_Int_Tables_number 12
_symmetry_space_group_name_Hall '-C 2y'
loop_
_atom_site_label
_atom_site_fract_x
_atom_site_fract_y
_atom_site_fract_z
_atom_site_occupancy
Cs1 0.000 0.000 0.000 1
V1 0.000 0.500 0.500 1
V2 0.250 0.250 0.000 1
B1 0.000 0.166 0.500 1
P1 0.214 0.360 0.477 1
H1 0.030 0.249 0.252 1
H2 0.138 0.459 0.038 1
O1 0.051 0.213 0.755 1
O2 0.117 0.427 0.368 1
O3 0.123 0.118 0.505 1
O4 0.150 0.500 0.920 1
O5 0.160 0.298 0.260 1
O6 0.215 0.339 0.772 1
```

Computed properties:
**E_tot**: -7.181 eV per atom
**Fermi-level density of states**: 0.325 states/eV/atom